(1)
# MgSc4GaIr2 | Alexandria | GGA-PBE | optimized geometry
# Crystal system ... trigonal
data_MgSc4GaIr2
_chemical_formula_sum 'Mg3 Sc12 Ga3 Ir6'
_symmetry_space_group_name_H-M 'R -3 m'
_symmetry_Int_Tables_number 166
_symmetry_space_group_name_Hall '-R 3 2"'
_cell_length_a 4.6828
_cell_length_b 4.6828
_cell_length_c 23.0987
_cell_angle_alpha 90.00
_cell_angle_beta 90.00
_cell_angle_gamma 120.00
loop_
_atom_site_label
_atom_site_fract_x
_atom_site_fract_y
_atom_site_fract_z
_atom_site_occupancy
Mg1 0.0000 0.0000 0.0000 1
Sc1 0.0000 0.0000 0.1268 1
Sc2 0.0000 0.0000 0.3771 1
Ga1 0.0000 0.0000 0.5000 1
Ir1 0.0000 0.0000 0.2529 1

(2)
# MgScGa2Ir2 | Alexandria | GGA-PBE | optimized geometry
# Crystal system ... trigonal
data_MgScGa2Ir2
_chemical_formula_sum 'Mg1 Sc1 Ga2 Ir2'
_symmetry_space_group_name_H-M 'P -3 m 1'
_symmetry_Int_Tables_number 164
_symmetry_space_group_name_Hall '-P 3 2"'
_cell_length_a 4.3834
_cell_length_b 4.3834
_cell_length_c 5.8284
_cell_angle_alpha 90.00
_cell_angle_beta 90.00
_cell_angle_gamma 120.00
loop_
_atom_site_label
_atom_site_fract_x
_atom_site_fract_y
_atom_site_fract_z
_atom_site_occupancy
Mg1 0.0000 0.0000 0.0000 1
Sc1 0.0000 0.0000 0.5000 1
Ga1 0.3333 0.6667 0.7370 1
Ir1 0.3333 0.6667 0.2096 1

(3)
# MgSc2Ga2Ir5 | Alexandria | GGA-PBE | optimized geometry
# Crystal system ... tetragonal
data_MgSc2Ga2Ir5
_chemical_formula_sum 'Mg2 Sc4 Ga4 Ir10'
_symmetry_space_group_name_H-M 'P 4/m b m'
_symmetry_Int_Tables_number 127
_symmetry_space_group_name_Hall '-P 4 2ab'
_cell_length_a 9.4801
_cell_length_b 9.4801
_cell_length_c 3.6228
_cell_angle_alpha 90.00
_cell_angle_beta 90.00
_cell_angle_gamma 90.00
loop_
_atom_site_label
_atom_site_fract_x
_atom_site_fract_y
_atom_site_fract_z
_atom_site_occupancy
Mg1 0.0000 0.0000 0.0000 1
Sc1 0.1717 0.3283 0.0000 1
Ga1 0.1279 0.6279 0.0000 1
Ir1 0.0000 0.5000 0.5000 1
Ir2 0.0702 0.7983 0.5000 1

Number 1: ΔE_f -0.70 eV/atom. Number 2: ΔE_f -0.63 eV/atom. Number 3: ΔE_f -0.55 eV/atom.